1.
SiHgIr2 | PBE-GGA | relaxed

* formation energy without anion corrections: 0.1586 eV/atom
* polymorph energy (0 for the lowest one): 349 meV/atom

Geometry as CIF:
```
data_SiHgIr2
_space_group_name_H-M_alt 'P m m 2'
_space_group_IT_number 25
_cell_length_a 2.8057
_cell_length_b 3.7958
_cell_length_c 6.3635
_cell_angle_alpha 90.00
_cell_angle_beta 90.00
_cell_angle_gamma 90.00
loop_
_space_group_symop_operation_xyz
'x,y,z'
'-x,-y,z'
'-x,y,z'
'x,-y,z'
loop_
_atom_site_label
_atom_site_type_symbol
_atom_site_fract_x
_atom_site_fract_y
_atom_site_fract_z
Si1 Si 0.0000 0.0000 0.0000
Hg1 Hg 0.5000 0.5000 0.3727
Ir1 Ir 0.0000 0.0000 0.6302
Ir2 Ir 0.5000 0.5000 0.9015
```

---

2.
KCo2Te | PBE-GGA | relaxed

* formation energy without anion corrections: 0.6589 eV/atom

Geometry as CIF:
```
data_KCo2Te
_space_group_name_H-M_alt 'P 4/m m m'
_space_group_IT_number 123
_space_group_name_Hall '-P 4 2'
_cell_length_a 3.2635
_cell_length_b 3.2635
_cell_length_c 7.8811
_cell_angle_alpha 90.00
_cell_angle_beta 90.00
_cell_angle_gamma 90.00
loop_
_atom_site_label
_atom_site_type_symbol
_atom_site_fract_x
_atom_site_fract_y
_atom_site_fract_z
K1 K 0.0000 0.0000 0.0000
Co1 Co 0.5000 0.5000 0.3385
Te1 Te 0.0000 0.0000 0.5000
```

---

3.
Pr3Zn2Ag2 | PBE-GGA | relaxed

* ΔE_f: -0.167 eV per atom

Geometry as CIF:
```
data_Pr3Zn2Ag2
_space_group_name_H-M_alt 'P -1'
_space_group_IT_number 2
_cell_length_a 5.1051
_cell_length_b 5.1082
_cell_length_c 8.2773
_cell_angle_alpha 89.79
_cell_angle_beta 89.89
_cell_angle_gamma 60.07
loop_
_space_group_symop_operation_xyz
'x,y,z'
'-x,-y,-z'
loop_
_atom_site_label
_atom_site_type_symbol
_atom_site_fract_x
_atom_site_fract_y
_atom_site_fract_z
Pr1 Pr 0.0000 0.0000 0.0000
Pr2 Pr 0.3335 0.3326 0.6435
Zn1 Zn 0.9998 0.0013 0.3504
Ag1 Ag 0.3331 0.3344 0.2199
```